1.
A plane-wave DFT calculation with PBE was carried out for a relaxed structure of GeSbPb2Au6.

Properties
E_form (uncorrected) in eV per atom: -0.013
Total DFT energy (no corrections) in eV/cell: -71.89
Calculated density in Mg/m³: 12.338

abc: 5.7866 9.3399 8.9181
angles: 90.00 90.00 90.00
Closest atoms and distances in Å follow each position.
Fractional positions:
Au: 0.5000 0.1087 0.2475  1 Ge 2.62, 1 Sb 2.72, 4 Au 2.84-2.86
Au: 0.0000 0.8913 0.7475  1 Ge 2.62, 1 Sb 2.72, 4 Au 2.84-2.86
Au: 0.2522 0.4750 0.5000  1 Ge 2.53, 1 Sb 2.72
Au: 0.7478 0.4750 0.5000  1 Ge 2.53, 1 Sb 2.72
Au: 0.0000 0.8913 0.2525  1 Ge 2.62, 1 Sb 2.72, 4 Au 2.84-2.86
Pb: 0.5000 0.7259 0.7543  9 Au 3.23-3.58
Sb: 0.0000 0.7212 0.5000  4 Au 2.72
Au: 0.2429 0.0155 0.5000  1 Ge 2.66, 6 Au 2.81-2.98
Ge: 0.0000 0.7484 0.0000  6 Au 2.53-2.66
Pb: 0.0000 0.2741 0.2543  9 Au 3.23-3.58
Au: 0.2478 0.5250 0.0000  1 Ge 2.53, 1 Sb 2.72
Ge: 0.5000 0.2516 0.5000  6 Au 2.53-2.66
Au: 0.7522 0.5250 0.0000  1 Ge 2.53, 1 Sb 2.72
Au: 0.7571 0.0155 0.5000  1 Ge 2.66, 6 Au 2.81-2.98
Au: 0.5000 0.1087 0.7525  1 Ge 2.62, 1 Sb 2.72, 4 Au 2.84-2.86
Au: 0.2571 0.9845 0.0000  1 Ge 2.66, 6 Au 2.81-2.98
Pb: 0.5000 0.7259 0.2457  9 Au 3.23-3.58
Pb: 0.0000 0.2741 0.7457  9 Au 3.23-3.58
Sb: 0.5000 0.2788 0.0000  4 Au 2.72
Au: 0.7429 0.9845 0.0000  1 Ge 2.66, 6 Au 2.81-2.98

2.
A plane-wave DFT calculation with PBE was carried out for a relaxed structure of GeSb2Pb3Au6.

Properties
E_form (uncorrected) in eV per atom: -0.006
Total DFT energy (no corrections) in eV/cell: -43.72
Calculated density in Mg/m³: 12.024

abc: 6.0492 6.0492 9.2368
angles: 90.00 90.00 120.00
Closest atoms and distances in Å follow each position.
Fractional positions:
Pb: 0.3333 0.6667 0.5973  9 Au 3.21-3.35
Au: 0.6626 0.8313 0.2869  1 Ge 2.65, 1 Sb 2.79
Pb: 0.0000 0.0000 0.0000  6 Au 3.19, 6 Sb 3.52
Au: 0.8313 0.6626 0.7131  1 Ge 2.65, 1 Sb 2.79
Pb: 0.6667 0.3333 0.4027  9 Au 3.21-3.35
Au: 0.3374 0.1687 0.7131  1 Ge 2.65, 1 Sb 2.79
Sb: 0.6667 0.3333 0.9511  3 Au 2.79
Au: 0.1687 0.3374 0.2869  1 Ge 2.65, 1 Sb 2.79
Au: 0.1687 0.8313 0.2869  1 Ge 2.65, 1 Sb 2.79
Sb: 0.3333 0.6667 0.0489  3 Au 2.79
Au: 0.8313 0.1687 0.7131  1 Ge 2.65, 1 Sb 2.79
Ge: 0.0000 0.0000 0.5000  6 Au 2.65

3.
A plane-wave DFT calculation with PBE was carried out for a relaxed structure of GePb2AuSe4.

Properties
E_form (uncorrected) in eV per atom: -0.256
Total DFT energy (no corrections) in eV/cell: -62.60
Calculated density in Mg/m³: 6.600

abc: 6.3408 9.1734 8.6501
angles: 90.00 90.00 90.00
Closest atoms and distances in Å follow each position.
Fractional positions:
Ge: 0.0204 0.1399 0.0000  4 Se 2.46-2.62
Se: 0.9238 0.3282 0.2162  1 Au 2.47, 1 Ge 2.62
Se: 0.9238 0.3282 0.7838  1 Au 2.47, 1 Ge 2.62
Se: 0.3682 0.1088 0.5000  1 Ge 2.48
Se: 0.4238 0.6718 0.2838  1 Au 2.47, 1 Ge 2.62
Au: 0.9508 0.3028 0.5000  2 Se 2.47
Pb: 0.4533 0.3178 0.7480  3 Se 2.90-3.00
Se: 0.4238 0.6718 0.7162  1 Au 2.47, 1 Ge 2.62
Se: 0.9064 0.8889 0.5000  1 Ge 2.46
Pb: 0.4533 0.3178 0.2520  3 Se 2.90-3.00
Pb: 0.9533 0.6822 0.2480  3 Se 2.90-3.00
Pb: 0.9533 0.6822 0.7520  3 Se 2.90-3.00
Se: 0.4064 0.1111 0.0000  1 Ge 2.46
Au: 0.4508 0.6972 0.0000  2 Se 2.47
Se: 0.8682 0.8912 0.0000  1 Ge 2.48
Ge: 0.5204 0.8601 0.5000  4 Se 2.46-2.62